Entry 1:
# Sc2AlZn12Cu3 | Alexandria | PBE-GGA | optimized geometry
# Size of the total moment ... 0.0000 μB/atom
# N(E_F) ... 0.5436 states/eV per atom
# Energy of formation from the pure elements ... 0.00 eV per atom
# Calculated total energy ... -2.439 eV per atom
data_Sc2AlZn12Cu3
_symmetry_space_group_name_H-M 'R -3 m'
_symmetry_Int_Tables_number 166
_symmetry_space_group_name_Hall '-R 3 2"'
_cell_length_a 8.9050
_cell_length_b 8.9050
_cell_length_c 12.6592
_cell_angle_alpha 90.00
_cell_angle_beta 90.00
_cell_angle_gamma 120.00
loop_
_atom_site_label
_atom_site_type_symbol
_atom_site_fract_x
_atom_site_fract_y
_atom_site_fract_z
Sc1 Sc 0.0000 0.0000 0.2330
Al1 Al 0.0000 0.0000 0.5000
Zn1 Zn 0.0017 0.5009 0.2000
Zn2 Zn 0.0393 0.5197 0.6019
Cu1 Cu 0.0000 0.5000 0.0000


Entry 2:
# Tb3Ho2Se6 | Alexandria | PBE-GGA | optimized geometry
# Distance to the lowest polymorph of the same formula ... 77 meV per atom
# Size of the total moment ... 0.0000 μB/atom
# Formation energy without anion corrections ... -1.786 eV per atom
# N(E_F) ... 0.4089 states/eV per atom
# Calculated total energy ... -5.782 eV per atom
data_Tb3Ho2Se6
_symmetry_space_group_name_H-M 'R -3 m'
_symmetry_Int_Tables_number 166
_symmetry_space_group_name_Hall '-R 3 2"'
_cell_length_a 4.1091
_cell_length_b 4.1091
_cell_length_c 60.6456
_cell_angle_alpha 90.00
_cell_angle_beta 90.00
_cell_angle_gamma 120.00
loop_
_atom_site_label
_atom_site_type_symbol
_atom_site_fract_x
_atom_site_fract_y
_atom_site_fract_z
Tb1 Tb 0.0000 0.0000 0.0000
Tb2 Tb 0.0000 0.0000 0.2794
Ho1 Ho 0.0000 0.0000 0.4466
Se1 Se 0.0000 0.0000 0.0827
Se2 Se 0.0000 0.0000 0.1972
Se3 Se 0.0000 0.0000 0.3606


Entry 3:
# CaSiTeI2 | Alexandria | PBE-GGA | optimized geometry
# Distance to the lowest polymorph of the same formula ... 0 meV per atom
# Size of the total moment ... 0.0000 μB/atom
# Formation energy without anion corrections ... -0.347 eV per atom
# N(E_F) ... 0.2147 states/eV per atom
# Calculated total energy ... -3.080 eV per atom
data_CaSiTeI2
_symmetry_space_group_name_H-M 'P 4/m m m'
_symmetry_Int_Tables_number 123
_symmetry_space_group_name_Hall '-P 4 2'
_cell_length_a 5.5043
_cell_length_b 5.5043
_cell_length_c 5.6579
_cell_angle_alpha 90.00
_cell_angle_beta 90.00
_cell_angle_gamma 90.00
loop_
_atom_site_label
_atom_site_type_symbol
_atom_site_fract_x
_atom_site_fract_y
_atom_site_fract_z
Ca1 Ca 0.0000 0.0000 0.0000
Si1 Si 0.5000 0.5000 0.5000
Te1 Te 0.5000 0.5000 0.0000
I1 I 0.0000 0.5000 0.5000


Entry 4:
# BaLi2Ca | Alexandria | PBE-GGA | optimized geometry
# Distance to the lowest polymorph of the same formula ... 11 meV per atom
# Size of the total moment ... 0.0000 μB/atom
# N(E_F) ... 1.1350 states/eV per atom
# Energy of formation from the pure elements ... 0.05 eV per atom
# Calculated total energy ... -1.892 eV per atom
data_BaLi2Ca
_symmetry_space_group_name_H-M 'P 4 m m'
_symmetry_Int_Tables_number 99
_cell_length_a 4.0112
_cell_length_b 4.0112
_cell_length_c 9.0058
_cell_angle_alpha 90.00
_cell_angle_beta 90.00
_cell_angle_gamma 90.00
loop_
_symmetry_equiv_pos_as_xyz
'x,y,z'
'-y,x,z'
'-x,-y,z'
'y,-x,z'
'-x,y,z'
'y,x,z'
'x,-y,z'
'-y,-x,z'
loop_
_atom_site_label
_atom_site_type_symbol
_atom_site_fract_x
_atom_site_fract_y
_atom_site_fract_z
Ba1 Ba 0.0000 0.0000 0.0000
Li1 Li 0.0000 0.0000 0.5855
Li2 Li 0.5000 0.5000 0.7215
Ca1 Ca 0.5000 0.5000 0.3510


Entry 5:
# LaCuPd | Alexandria | PBE-GGA | optimized geometry
# Distance to the lowest polymorph of the same formula ... 175 meV per atom
# Size of the total moment ... 0.0000 μB/atom
# N(E_F) ... 0.6453 states/eV per atom
# Energy of formation from the pure elements ... -0.39 eV per atom
# Calculated total energy ... -5.128 eV per atom
data_LaCuPd
_symmetry_space_group_name_H-M 'I 4 m m'
_symmetry_Int_Tables_number 107
_symmetry_space_group_name_Hall 'I 4 -2'
_cell_length_a 3.6335
_cell_length_b 3.6335
_cell_length_c 9.5149
_cell_angle_alpha 90.00
_cell_angle_beta 90.00
_cell_angle_gamma 90.00
loop_
_atom_site_label
_atom_site_type_symbol
_atom_site_fract_x
_atom_site_fract_y
_atom_site_fract_z
La1 La 0.0000 0.0000 0.0000
Cu1 Cu 0.0000 0.0000 0.3098
Pd1 Pd 0.0000 0.0000 0.6855


Entry 6:
# BaMn2Tc | Alexandria | PBE-GGA | optimized geometry
# Distance to the lowest polymorph of the same formula ... 687 meV per atom
# Size of the total moment ... 1.6056 μB/atom
# N(E_F) ... 2.0153 states/eV per atom
# Energy of formation from the pure elements ... 1.17 eV per atom
# Calculated total energy ... -6.490 eV per atom
data_BaMn2Tc
_symmetry_space_group_name_H-M 'F -4 3 m'
_symmetry_Int_Tables_number 216
_symmetry_space_group_name_Hall 'F -4 2 3'
_cell_length_a 6.8370
_cell_length_b 6.8370
_cell_length_c 6.8370
_cell_angle_alpha 90.00
_cell_angle_beta 90.00
_cell_angle_gamma 90.00
loop_
_atom_site_label
_atom_site_type_symbol
_atom_site_fract_x
_atom_site_fract_y
_atom_site_fract_z
Ba1 Ba 0.0000 0.0000 0.0000
Mn1 Mn 0.0000 0.0000 0.5000
Mn2 Mn 0.2500 0.2500 0.7500
Tc1 Tc 0.2500 0.2500 0.2500